i) VASP calculation (PBE) on crystalline BC2 at its relaxed geometry.

Cell and atoms, written as POSCAR:
```
BC2
1.0
6.8976 -1.2825 0.0000
6.8976 1.2825 0.0000
-1.5181 0.0000 4.3251
B C
4 8
Cartesian
0.0000 0.0000 0.0000 B
3.6889 0.0000 3.0344 B
6.1979 0.0000 2.2199 B
10.2048 0.0000 1.8408 B
1.6363 0.0000 0.5660 C
1.0981 0.0000 3.6162 C
2.5612 0.0000 4.1796 C
5.1674 0.0000 3.4577 C
7.7475 0.0000 2.7328 C
8.6459 0.0000 1.4102 C
11.3029 0.0000 0.6693 C
12.7090 0.0000 1.2172 C
```



ii) VASP calculation (PBE) on crystalline BC2 at its relaxed geometry.

Cell and atoms, written as POSCAR:
```
BC2
1.0
2.4871 0.0000 0.0000
0.0000 2.5160 0.0000
0.0000 0.0000 12.1582
B C
4 8
Cartesian
0.6218 0.0000 0.6695 B
0.6218 0.0000 8.4762 B
1.8653 0.0000 3.6820 B
1.8653 0.0000 11.4887 B
0.6218 0.0000 4.7482 C
0.6218 1.2580 1.7493 C
0.6218 1.2580 5.5987 C
0.6218 1.2580 9.5786 C
1.8653 0.0000 7.4100 C
1.8653 1.2580 2.5796 C
1.8653 1.2580 6.5595 C
1.8653 1.2580 10.4089 C
```



How do the energies compare? Relative to the most stable structure, in meV/atom: i) 83; ii) 0.



i) VASP calculation (PBE) on crystalline BC2 at its relaxed geometry.

Cell and atoms, written as POSCAR:
```
BC2
1.0
4.4799 0.0000 0.0000
0.0000 2.5624 0.0000
-0.0026 0.0000 6.6595
B C
4 8
Cartesian
0.0000 0.0000 0.0000 B
0.7010 1.2812 3.6627 B
1.7817 0.0000 5.8516 B
3.6102 1.2812 5.7470 B
0.7390 1.2812 2.0552 C
1.6037 0.0000 4.2733 C
2.1247 1.2812 6.6413 C
2.2198 1.2812 1.5150 C
2.9635 0.0000 2.0431 C
2.9689 0.0000 3.6136 C
3.6735 1.2812 4.1614 C
4.4766 0.0000 1.5612 C
```



ii) VASP calculation (PBE) on crystalline BC2 at its relaxed geometry.

Cell and atoms, written as POSCAR:
```
BC2
1.0
2.5929 0.0000 0.0000
-1.2964 2.2455 0.0000
0.0000 0.0000 13.2136
B C
4 8
Cartesian
0.0000 0.0000 0.8582 B
0.0000 0.0000 12.3554 B
0.0000 1.4970 9.5197 B
1.2964 0.7485 3.6938 B
0.0000 0.0000 5.8025 C
0.0000 0.0000 7.4110 C
0.0000 1.4970 1.6068 C
0.0000 1.4970 3.0185 C
0.0000 1.4970 7.8830 C
1.2964 0.7485 5.3306 C
1.2964 0.7485 10.1950 C
1.2964 0.7485 11.6068 C
```



How do the energies compare? Relative to the most stable structure, in meV/atom: i) 0; ii) 29.



i) VASP calculation (PBE) on crystalline CeLuPu2 at its relaxed geometry.

Cell and atoms, written as POSCAR:
```
CeLuPu2
1.0
4.8206 0.0000 0.0000
0.0000 4.8206 0.0000
0.0000 0.0000 4.7064
Ce Lu Pu
1 1 2
Cartesian
0.0000 0.0000 0.0000 Ce
2.4103 2.4103 0.0000 Lu
0.0000 2.4103 2.3532 Pu
2.4103 0.0000 2.3532 Pu
```



ii) VASP calculation (PBE) on crystalline CeLuPu2 at its relaxed geometry.

Cell and atoms, written as POSCAR:
```
CeLuPu2
1.0
3.3304 0.0000 0.0000
0.0000 3.3304 0.0000
0.0000 0.0000 9.4150
Ce Lu Pu
1 1 2
Cartesian
0.0000 0.0000 0.0000 Ce
0.0000 0.0000 4.7075 Lu
1.6652 1.6652 2.1842 Pu
1.6652 1.6652 7.2308 Pu
```



How do the energies compare? Relative to the most stable structure, in meV/atom: i) 18; ii) 0.



i) VASP calculation (PBE) on crystalline CrHSe2 at its relaxed geometry.

Cell and atoms, written as POSCAR:
```
CrHSe2
1.0
6.9106 0.0000 0.0000
0.0000 3.3055 0.0000
0.0000 0.0000 11.6962
Cr H Se
4 4 8
Cartesian
0.3885 0.8264 0.9401 Cr
3.0668 2.4792 6.7882 Cr
3.8437 0.8264 4.9080 Cr
6.5221 2.4792 10.7562 Cr
0.2058 0.8264 8.1012 H
3.2495 2.4792 2.2531 H
3.6611 0.8264 9.4432 H
6.7047 2.4792 3.5950 H
0.6697 2.4792 8.4920 Se
1.6963 0.8264 5.8202 Se
1.7590 2.4792 11.6683 Se
2.7856 0.8264 2.6439 Se
4.1250 2.4792 9.0524 Se
5.1516 0.8264 0.0280 Se
5.2142 2.4792 5.8761 Se
6.2409 0.8264 3.2042 Se
```



ii) VASP calculation (PBE) on crystalline CrHSe2 at its relaxed geometry.

Cell and atoms, written as POSCAR:
```
CrHSe2
1.0
3.6413 -3.6263 0.0000
3.6413 3.6263 0.0000
-3.5564 0.0000 5.7138
Cr H Se
2 2 4
Cartesian
1.8631 2.6520 2.8569 Cr
3.6413 -2.6520 0.0000 Cr
0.7385 1.6021 5.5763 H
2.5167 -1.6021 2.7194 H
-0.0811 0.9618 2.6130 Se
-1.8593 -0.9618 5.4699 Se
3.6567 0.9199 3.2645 Se
5.4349 -0.9199 0.4076 Se
```



How do the energies compare? Relative to the most stable structure, in meV/atom: i) 204; ii) 0.



i) VASP calculation (PBE) on crystalline Be2NiCl at its relaxed geometry.

Cell and atoms, written as POSCAR:
```
Be2NiCl
1.0
2.7338 0.0000 0.0000
0.0000 3.6693 0.0000
0.0000 0.0000 5.1881
Be Ni Cl
2 1 1
Cartesian
0.0000 0.0000 0.0000 Be
1.3669 1.8347 0.0000 Be
0.0000 1.8347 2.5941 Ni
1.3669 0.0000 2.5941 Cl
```



ii) VASP calculation (PBE) on crystalline Be2NiCl at its relaxed geometry.

Cell and atoms, written as POSCAR:
```
Be2NiCl
1.0
-1.3634 2.4406 3.7469
1.3634 -2.4406 3.7469
1.3634 2.4406 -3.7469
Be Ni Cl
2 1 1
Cartesian
0.0000 0.0000 0.0000 Be
0.0000 2.4406 1.8006 Be
0.0000 0.0000 3.7425 Ni
1.3634 0.0000 1.7129 Cl
```



How do the energies compare? Relative to the most stable structure, in meV/atom: i) 122; ii) 0.